# MnTl2F4 GGA+U relaxed
data_MnTl2F4
_cell_length_a 8.5216
_cell_length_b 10.6593
_cell_length_c 3.4962
_cell_angle_alpha 90.00
_cell_angle_beta 90.00
_cell_angle_gamma 90.00
_space_group_name_H-M_alt 'C m m m'
_space_group_IT_number 65
_space_group_name_Hall '-C 2 2'
loop_
_atom_site_label
_atom_site_type_symbol
_atom_site_fract_x
_atom_site_fract_y
_atom_site_fract_z
Mn1 Mn 0.0000 0.0000 0.0000
Tl1 Tl 0.2500 0.2500 0.5000
F1 F 0.0000 0.1984 0.0000
F2 F 0.1611 0.0000 0.5000
# final energy: -69.20 eV/cell